Here is a relaxed structure of Sc5MnPt6 from the Alexandria database. Energies are from PBE-GGA.

Computed properties:
Theoretical density = 11.5 g/cm³
Calculated total energy = -7.515 eV/atom
ΔH_f (0 K) = -1.093 eV per atom
SG = Immm, No. 71

a b c (Å): 4.617 8.001 8.001
angles (deg): 119.64 106.78 106.78
Positions (direct):
Pt (0.252, 0.083, 0.418)
Pt (0.252, 0.418, 0.083)
Pt (0.244, 0.744, 0.744)
Pt (0.748, 0.917, 0.582)
Pt (0.748, 0.582, 0.917)
Pt (0.756, 0.256, 0.256)
Sc (0.500, 0.500, 0.500)
Sc (0.500, 0.839, 0.161)
Sc (0.000, 0.332, 0.668)
Sc (0.500, 0.161, 0.839)
Sc (0.000, 0.668, 0.332)
Mn (0.000, 0.000, 0.000)